Material: AlW2O4
Method: DFT, PBE with a Hubbard U
State: optimized geometry

Calculated values
Crystal system = monoclinic
Relative energy among the computed polymorphs = 0.030 eV per atom

Cell: 7.6991 10.2456 5.4874 Å, 90.00 130.38 90.00°
Space group C2/c (No. 15)
Unique sites:
1 Al 0.0000 0.0696 0.2500 x4
2 W 0.0000 0.5000 0.0000 x4
3 W 0.2500 0.2500 0.0000 x4
4 O 0.1622 0.0806 0.7182 x8
5 O 0.2416 0.1539 0.3125 x8